(1)
Crystalline LiNbAsSe2 at its relaxed geometry, computed with PBE.

Unit cell a=4.6097 b=4.6097 c=4.4096 alpha=90.00 beta=90.00 gamma=90.00
Last column: nearest neighbours and their distance in Å.
Sites, in units of the cell vectors:
Li1 0.0000 0.0000 0.0000  2 As 2.20, 4 Se 2.30
Nb1 0.5000 0.5000 0.5000  8 Se 3.19, 4 As 3.26
As1 0.0000 0.0000 0.5000  2 Li 2.20
Se1 0.0000 0.5000 0.0000  2 Li 2.30
Se2 0.5000 0.0000 0.0000  2 Li 2.30

Calculated values
Formation energy (no corrections), eV/f.u.: 2.5

---

(2)
Crystalline KMn2Ni at its relaxed geometry, computed with PBE.

Unit cell a=5.9787 b=5.9787 c=5.9787 alpha=151.99 beta=129.18 gamma=59.03
Last column: nearest neighbours and their distance in Å.
Sites, in units of the cell vectors:
K1 0.0000 0.0000 0.0000  2 K 2.89, 4 Mn 3.02, 2 Ni 3.05
Mn1 0.3014 0.8014 0.5000  4 Mn 2.89-3.08, 4 Ni 3.01
Mn2 0.5629 0.5629 0.0000  2 Ni 2.36
Ni1 0.7419 0.2419 0.5000  2 Mn 2.36

Calculated values
Energy relative to the elements, meV per atom: 918

---

Q: Which polymorph energy (0 for the lowest one) values were calculated for the entries above? A: 3.83 1.40, in eV per formula unit.
Q: Which E values were calculated for the entries above? A: -4.2296 -5.3867, in eV/atom.